This record from the Alexandria database describes a relaxed structure of AlTc2Ni. The functional is PBE.

For the total DFT energy (no corrections), the calculation gives -30.74 eV/cell. As for the total moment: 0.0001 μB/atom.

It has space group P4/mmm (No. 123), with a = 3.6353 Å, b = 3.6353 Å, c = 4.1305 Å, α = 90.00°, β = 90.00° and γ = 90.00°. Symmetry generates all atoms from Al at (0.0000, 0.0000, 0.0000), Tc at (0.0000, 0.5000, 0.5000) and Ni at (0.5000, 0.5000, 0.0000).



This record from the Alexandria database describes a relaxed structure of PmSm2ScS6. The functional is PBE.

For the total DFT energy (no corrections), the calculation gives -195.10 eV/cell. As for the total moment: 0.0000 μB/atom. The value obtained for the uncorrected formation energy is -19.749 eV/f.u.

It has space group R3 (No. 146, hexagonal axes), with a = 6.9592 Å, b = 6.9592 Å, c = 18.4323 Å, α = 90.00°, β = 90.00° and γ = 120.00°. Symmetry generates all atoms from Pm at (0.0000, 0.0000, 0.0000), Sm at (0.0000, 0.0000, 0.2908), Sm at (0.0000, 0.0000, 0.7951), Sc at (0.0000, 0.0000, 0.4941), S at (0.0396, 0.3428, 0.5640) and S at (0.0485, 0.6732, 0.0677).



This record from the Alexandria database describes a relaxed structure of PrNd3Ru. The functional is PBE.

Its energy relative to the lowest polymorph listed for this composition is 0.0 meV/atom. For the total DFT energy (no corrections), the calculation gives -116.26 eV/cell. As for the total moment: 0.0000 μB/atom.

It has space group C2/m (No. 12), with a = 12.2219 Å, b = 8.7490 Å, c = 8.5037 Å, α = 90.00°, β = 133.96° and γ = 90.00°. Symmetry generates all atoms from Pr at (0.0503, 0.0000, 0.3431), Nd at (0.0497, 0.5000, 0.2552), Nd at (0.2504, 0.2006, 0.2061) and Ru at (0.2492, 0.5000, 0.1212).